Version i
PrSm4Ho5 | PBE | relaxed

Cell: 7.936 7.936 7.936 Å, 98.98 98.98 133.45°
Positions (direct):
Pr (0.000, 0.000, 0.000)
Sm (0.116, 0.814, 0.396)
Sm (0.418, 0.720, 0.604)
Sm (0.720, 0.116, 0.302)
Sm (0.814, 0.418, 0.698)
Ho (0.042, 0.122, 0.620)
Ho (0.122, 0.502, 0.080)
Ho (0.423, 0.042, 0.920)
Ho (0.502, 0.423, 0.380)
Ho (0.539, 0.539, 0.000)

Symmetry: I4, No. 79
D(E_F) (states/eV per atom): 1.42

***

Version ii
PrSm4Ho5 | PBE | relaxed

Cell: 8.793 8.793 11.152 Å, 90.21 90.21 23.27°
Positions (direct):
Pr (0.000, 0.000, 0.000)
Sm (0.155, 0.155, 0.250)
Sm (0.470, 0.470, 0.253)
Sm (0.530, 0.530, 0.747)
Sm (0.845, 0.845, 0.750)
Ho (0.000, 0.000, 0.500)
Ho (0.325, 0.325, 0.054)
Ho (0.327, 0.327, 0.452)
Ho (0.673, 0.673, 0.548)
Ho (0.675, 0.675, 0.946)

Symmetry: C2/m, No. 12
D(E_F) (states/eV per atom): 1.38

***

Most stable: version ii (next structure +9.2 kJ/mol of atoms)